Computed, not measured: crystalline Sc2BeCd at its relaxed geometry at the PBE-GGA level of DFT.

Values from the calculation:
* DOS at the Fermi energy: 4.17 states/eV/cell
* final energy: -4.353 eV per atom
* calculated volume: 19.77 Å³/atom
* formation energy: -0.03 eV/atom

Lattice parameters (Å, degrees): 3.3655 4.3278 5.6815 90.00 107.11 90.00
With the nearest neighbours (Å) after each atom.
Fractional positions:
Sc: 0.0000 0.0000 0.0000  4 Be 2.89, 3 Cd 2.94-3.01
Sc: 0.3254 0.5000 0.6524  3 Be 2.80-3.12, 4 Cd 2.96-2.97
Be: 0.5850 0.5000 0.1689  2 Cd 2.63, 5 Sc 2.80-2.89
Cd: 0.7215 0.0000 0.4448  2 Be 2.63, 2 Sc 2.94

=====

Computed, not measured: crystalline ScBe2Cd2 at its relaxed geometry at the PBE-GGA level of DFT.

Values from the calculation:
* DOS at the Fermi energy: 5.96 states/eV/cell
* final energy: -3.042 eV per atom
* calculated volume: 16.86 Å³/atom
* formation energy: 0.08 eV/atom

Lattice parameters (Å, degrees): 4.0362 4.0362 10.3482 90.00 90.00 90.00
With the nearest neighbours (Å) after each atom.
Fractional positions:
Sc: 0.0000 0.0000 0.0000  8 Be 3.03, 8 Cd 3.28
Sc: 0.5000 0.5000 0.5000  8 Be 3.03, 8 Cd 3.28
Be: 0.0000 0.0000 0.4016  1 Be 2.04
Be: 0.0000 0.0000 0.5984  1 Be 2.04
Be: 0.5000 0.5000 0.0984  1 Be 2.04
Be: 0.5000 0.5000 0.9016  1 Be 2.04
Cd: 0.0000 0.5000 0.2500  4 Be 2.56, 4 Cd 2.85
Cd: 0.0000 0.5000 0.7500  4 Be 2.56, 4 Cd 2.85
Cd: 0.5000 0.0000 0.2500  4 Be 2.56, 4 Cd 2.85
Cd: 0.5000 0.0000 0.7500  4 Be 2.56, 4 Cd 2.85

=====

Computed, not measured: crystalline ScBe2Cd at its relaxed geometry at the PBE-GGA level of DFT.

Values from the calculation:
* DOS at the Fermi energy: 8.25 states/eV/cell
* final energy: -3.594 eV per atom
* calculated volume: 16.25 Å³/atom
* formation energy: 0.08 eV/atom

Lattice parameters (Å, degrees): 3.8277 3.8277 15.3643 90.00 90.00 120.00
With the nearest neighbours (Å) after each atom.
Fractional positions:
Sc: 0.0000 0.0000 0.0000  6 Be 2.74-2.77, 4 Cd 3.03-3.05
Sc: 0.3333 0.6667 0.6667  6 Be 2.74-2.77, 4 Cd 3.03-3.05
Sc: 0.6667 0.3333 0.3333  6 Be 2.74-2.77, 4 Cd 3.03-3.05
Be: 0.0000 0.0000 0.4386  3 Be 2.21
Be: 0.0000 0.0000 0.7752  3 Be 2.21
Be: 0.3333 0.6667 0.1053  3 Be 2.21
Be: 0.3333 0.6667 0.4419  3 Be 2.21
Be: 0.6667 0.3333 0.1085  3 Be 2.21
Be: 0.6667 0.3333 0.7720  3 Be 2.21
Cd: 0.0000 0.0000 0.1982  6 Be 2.60-2.63
Cd: 0.3333 0.6667 0.8649  6 Be 2.60-2.63
Cd: 0.6667 0.3333 0.5315  6 Be 2.60-2.63

=====

Computed, not measured: crystalline Sc2BeCd at its relaxed geometry at the PBE-GGA level of DFT.

Values from the calculation:
* DOS at the Fermi energy: 14.80 states/eV/cell
* final energy: -4.402 eV per atom
* calculated volume: 19.36 Å³/atom
* formation energy: -0.08 eV/atom

Lattice parameters (Å, degrees): 6.7667 6.7667 6.7667 90.00 90.00 90.00
With the nearest neighbours (Å) after each atom.
Fractional positions:
Sc: 0.2500 0.2500 0.2500  4 Cd 2.93, 4 Be 2.93
Sc: 0.2500 0.2500 0.7500  4 Be 2.93, 4 Cd 2.93
Sc: 0.2500 0.7500 0.2500  4 Be 2.93, 4 Cd 2.93
Sc: 0.2500 0.7500 0.7500  4 Cd 2.93, 4 Be 2.93
Sc: 0.7500 0.2500 0.2500  4 Be 2.93, 4 Cd 2.93
Sc: 0.7500 0.2500 0.7500  4 Cd 2.93, 4 Be 2.93
Sc: 0.7500 0.7500 0.2500  4 Cd 2.93, 4 Be 2.93
Sc: 0.7500 0.7500 0.7500  4 Be 2.93, 4 Cd 2.93
Be: 0.0000 0.0000 0.0000  8 Sc 2.93
Be: 0.0000 0.5000 0.5000  8 Sc 2.93
Be: 0.5000 0.0000 0.5000  8 Sc 2.93
Be: 0.5000 0.5000 0.0000  8 Sc 2.93
Cd: 0.0000 0.0000 0.5000  8 Sc 2.93
Cd: 0.0000 0.5000 0.0000  8 Sc 2.93
Cd: 0.5000 0.0000 0.0000  8 Sc 2.93
Cd: 0.5000 0.5000 0.5000  8 Sc 2.93

=====

DOS at the Fermi energy of number 3 (ScBe2Cd)?
8.25 states/eV/cell

=====

Which value of DOS at the Fermi energy does entry 4 give?
14.80 states/eV/cell

=====

Look up the final energy of the second one.
-3.042 eV per atom